The following is a DFT calculation (PBE) of a relaxed structure of Ac3TlBi2Pd8.

The value obtained for the theoretical density is 11.10 Mg/m³. Its formation energy is -0.568 eV/atom. The total moment is 0.00 μB/atom. Its total energy is -5.139 eV per atom.

abc: 5.760 5.760 11.217
angles: 90.00 90.00 120.00
Fractional coordinates of all 14 atoms:
1 Ac 0.000 0.000 0.000
2 Ac 0.333 0.667 0.593
3 Ac 0.667 0.333 0.407
4 Tl 0.000 0.000 0.500
5 Bi 0.333 0.667 0.104
6 Bi 0.667 0.333 0.896
7 Pd 0.164 0.328 0.295
8 Pd 0.164 0.836 0.295
9 Pd 0.328 0.164 0.705
10 Pd 0.333 0.667 0.853
11 Pd 0.667 0.333 0.147
12 Pd 0.672 0.836 0.295
13 Pd 0.836 0.164 0.705
14 Pd 0.836 0.672 0.705